# MgSc2ReAg

MgSc2ReAg after structural relaxation (PBE-GGA, Alexandria via LeMat-Bulk).

- density of states at the Fermi level (states/eV per atom) = 0.69
- ΔH_f (0 K) (kcal/mol of atoms) = 10.3
- crystal system = tetragonal

Cell lengths 4.957, 4.957, 5.144 Å; angles 90.00, 90.00, 90.00 degrees
Space group P4/mmm (No. 123)
One atom of each set of equivalent atoms:
Mg (0.000, 0.000, 0.000) [1 per cell]
Sc (0.000, 0.500, 0.500) [2 per cell]
Re (0.000, 0.000, 0.500) [1 per cell]
Ag (0.500, 0.500, 0.000) [1 per cell]



# Rb2ZrAgSe4

Rb2ZrAgSe4 after structural relaxation (PBE-GGA, Alexandria via LeMat-Bulk).

- density of states at the Fermi level (states/eV per atom) = 0.45
- electronic total energy (eV per atom) = -4.356
- crystal system = monoclinic

Cell lengths 7.821, 3.993, 8.363 Å; angles 90.00, 112.42, 90.00 degrees
Space group P2/m (No. 10)
One atom of each set of equivalent atoms:
Rb (0.000, 0.000, 0.000) [1 per cell]
Rb (0.500, 0.500, 0.000) [1 per cell]
Zr (0.000, 0.500, 0.500) [1 per cell]
Ag (0.500, 0.000, 0.500) [1 per cell]
Se (0.190, 0.000, 0.712) [2 per cell]
Se (0.266, 0.500, 0.351) [2 per cell]



# PaMnCu

PaMnCu after structural relaxation (PBE-GGA, Alexandria via LeMat-Bulk).

- density of states at the Fermi level (states/eV per atom) = 1.13
- ΔH_f (0 K) (kcal/mol of atoms) = 3.5
- E above lowest polymorph (meV per atom) = 165
- crystal system = tetragonal

Cell lengths 2.995, 2.995, 11.414 Å; angles 90.00, 90.00, 90.00 degrees
Space group I4mm (No. 107)
One atom of each set of equivalent atoms:
Pa (0.000, 0.000, 0.000) [2 per cell]
Mn (0.000, 0.000, 0.318) [2 per cell]
Cu (0.000, 0.000, 0.692) [2 per cell]



# Rb3LiCu

Rb3LiCu after structural relaxation (PBE-GGA, Alexandria via LeMat-Bulk).

- density of states at the Fermi level (states/eV per atom) = 1.33
- ΔH_f (0 K) (kcal/mol of atoms) = 7.6
- E above lowest polymorph (meV per atom) = 0
- crystal system = cubic

Cell lengths 6.727, 6.727, 6.727 Å; angles 90.00, 90.00, 90.00 degrees
Space group Pm-3m (No. 221)
One atom of each set of equivalent atoms:
Rb (0.000, 0.000, 0.500) [3 per cell]
Li (0.500, 0.500, 0.500) [1 per cell]
Cu (0.000, 0.000, 0.000) [1 per cell]



# Y3TaMn

Y3TaMn after structural relaxation (PBE-GGA, Alexandria via LeMat-Bulk).

- density of states at the Fermi level (states/eV per atom) = 2.49
- ΔH_f (0 K) (kcal/mol of atoms) = 32.7
- E above lowest polymorph (meV per atom) = 557
- crystal system = cubic

Cell lengths 5.395, 5.395, 5.395 Å; angles 90.00, 90.00, 90.00 degrees
Space group Pm-3m (No. 221)
One atom of each set of equivalent atoms:
Y (0.000, 0.000, 0.500) [3 per cell]
Ta (0.000, 0.000, 0.000) [1 per cell]
Mn (0.500, 0.500, 0.500) [1 per cell]



# BeAl3Pb

BeAl3Pb after structural relaxation (PBE-GGA, Alexandria via LeMat-Bulk).

- density of states at the Fermi level (states/eV per atom) = 0.82
- ΔH_f (0 K) (kcal/mol of atoms) = 34.0
- E above lowest polymorph (meV per atom) = 1090
- crystal system = cubic

Cell lengths 5.429, 5.429, 5.429 Å; angles 90.00, 90.00, 90.00 degrees
Space group Pm-3m (No. 221)
One atom of each set of equivalent atoms:
Be (0.000, 0.000, 0.000) [1 per cell]
Al (0.000, 0.500, 0.500) [3 per cell]
Pb (0.500, 0.500, 0.500) [1 per cell]



# UB3Rh6

UB3Rh6 after structural relaxation (PBE-GGA, Alexandria via LeMat-Bulk).

- density of states at the Fermi level (states/eV per atom) = 0.59
- ΔH_f (0 K) (kcal/mol of atoms) = -9.1
- crystal system = triclinic

Cell lengths 5.416, 5.417, 6.103 Å; angles 63.83, 63.68, 60.06 degrees
Space group P1 (No. 1)
One atom of each set of equivalent atoms:
U (0.000, 0.000, 0.000) [1 per cell]
B (0.302, 0.301, 0.093) [1 per cell]
B (0.637, 0.635, 0.092) [1 per cell]
B (0.834, 0.833, 0.497) [1 per cell]
Rh (0.066, 0.528, 0.802) [1 per cell]
Rh (0.276, 0.883, 0.346) [1 per cell]
Rh (0.494, 0.276, 0.346) [1 per cell]
Rh (0.530, 0.601, 0.803) [1 per cell]
Rh (0.604, 0.065, 0.802) [1 per cell]
Rh (0.883, 0.494, 0.346) [1 per cell]



# LiZrPt6

LiZrPt6 after structural relaxation (PBE-GGA, Alexandria via LeMat-Bulk).

- density of states at the Fermi level (states/eV per atom) = 1.05
- ΔH_f (0 K) (kcal/mol of atoms) = -16.9
- crystal system = tetragonal

Cell lengths 3.996, 3.996, 7.834 Å; angles 90.00, 90.00, 90.00 degrees
Space group P4/mmm (No. 123)
One atom of each set of equivalent atoms:
Li (0.000, 0.000, 0.000) [1 per cell]
Zr (0.000, 0.000, 0.500) [1 per cell]
Pt (0.000, 0.500, 0.241) [4 per cell]
Pt (0.500, 0.500, 0.000) [1 per cell]
Pt (0.500, 0.500, 0.500) [1 per cell]



# Cs2GaP3O10

Cs2GaP3O10 after structural relaxation (PBE-GGA, Alexandria via LeMat-Bulk).

- density of states at the Fermi level (states/eV per atom) = 0.00
- electronic total energy (eV per atom) = -6.634
- crystal system = monoclinic

Cell lengths 12.543, 9.193, 9.687 Å; angles 90.00, 94.91, 90.00 degrees
Space group P2_1/c (No. 14)
One atom of each set of equivalent atoms:
Cs (0.039, 0.109, 0.232) [4 per cell]
Cs (0.352, 0.121, 0.997) [4 per cell]
Ga (0.349, 0.650, 0.858) [4 per cell]
P (0.191, 0.714, 0.571) [4 per cell]
P (0.241, 0.032, 0.582) [4 per cell]
P (0.452, 0.583, 0.180) [4 per cell]
O (0.076, 0.664, 0.558) [4 per cell]
O (0.178, 0.160, 0.620) [4 per cell]
O (0.186, 0.615, 0.128) [4 per cell]
O (0.244, 0.718, 0.433) [4 per cell]
O (0.262, 0.631, 0.682) [4 per cell]
O (0.267, 0.020, 0.431) [4 per cell]
O (0.354, 0.038, 0.677) [4 per cell]
O (0.436, 0.683, 0.303) [4 per cell]
O (0.445, 0.658, 0.040) [4 per cell]
O (0.447, 0.506, 0.781) [4 per cell]



# Ni2H2Ru

Ni2H2Ru after structural relaxation (PBE-GGA, Alexandria via LeMat-Bulk).

- density of states at the Fermi level (states/eV per atom) = 1.09
- E above lowest polymorph (meV per atom) = 196
- crystal system = tetragonal

Cell lengths 5.803, 5.803, 2.631 Å; angles 90.00, 90.00, 90.00 degrees
Space group P4/mbm (No. 127)
One atom of each set of equivalent atoms:
Ni (0.150, 0.350, 0.000) [4 per cell]
H (0.224, 0.724, 0.500) [4 per cell]
Ru (0.000, 0.000, 0.500) [2 per cell]



# Mg6H12Os

Mg6H12Os after structural relaxation (PBE-GGA, Alexandria via LeMat-Bulk).

- electronic total energy (eV per atom) = -3.378
- crystal system = trigonal

Cell lengths 10.5578, 10.5578, 6.6139 Å; angles 90.00, 90.00, 120.00 degrees
Space group R-3 (No. 148, hexagonal axes)
One atom of each set of equivalent atoms:
Mg (0.0351, 0.8508, 0.3119) [18 per cell]
H (0.0358, 0.8758, 0.8807) [18 per cell]
H (0.0459, 0.4501, 0.1385) [18 per cell]
Os (0.0000, 0.0000, 0.0000) [3 per cell]



# Zn2Bi2O5

Zn2Bi2O5 after structural relaxation (PBE-GGA, Alexandria via LeMat-Bulk).

- electronic total energy (eV per atom) = -5.107
- crystal system = monoclinic

Cell lengths 3.490, 12.176, 6.524 Å; angles 90.00, 100.61, 90.00 degrees
Space group P2_1 (No. 4)
One atom of each set of equivalent atoms:
Zn (0.004, 0.000, 0.022) [2 per cell]
Zn (0.081, 0.275, 0.369) [2 per cell]
Bi (0.346, 0.518, 0.504) [2 per cell]
Bi (0.487, 0.766, 0.146) [2 per cell]
O (0.013, 0.331, 0.083) [2 per cell]
O (0.096, 0.619, 0.180) [2 per cell]
O (0.127, 0.112, 0.384) [2 per cell]
O (0.358, 0.819, 0.479) [2 per cell]
O (0.446, 0.466, 0.838) [2 per cell]



# FeOs

FeOs after structural relaxation (PBE-GGA, Alexandria via LeMat-Bulk).

- density of states at the Fermi level (states/eV per atom) = 1.03
- ΔH_f (0 K) (kcal/mol of atoms) = 3.9
- crystal system = trigonal

Cell lengths 2.6929, 2.6929, 25.3073 Å; angles 90.00, 90.00, 120.00 degrees
Space group R-3m (No. 166, hexagonal axes)
One atom of each set of equivalent atoms:
Fe (0.0000, 0.0000, 0.1273) [6 per cell]
Os (0.0000, 0.0000, 0.3776) [6 per cell]



# CdTc2Pb

CdTc2Pb after structural relaxation (PBE-GGA, Alexandria via LeMat-Bulk).

- density of states at the Fermi level (states/eV per atom) = 1.07
- ΔH_f (0 K) (kcal/mol of atoms) = 17.8
- E above lowest polymorph (meV per atom) = 562
- crystal system = orthorhombic

Cell lengths 3.248, 4.948, 9.243 Å; angles 90.00, 90.00, 90.00 degrees
Space group Immm (No. 71)
One atom of each set of equivalent atoms:
Cd (0.000, 0.000, 0.000) [2 per cell]
Tc (0.000, 0.500, 0.243) [4 per cell]
Pb (0.000, 0.000, 0.500) [2 per cell]



# Ca2B3Pt12Au

Ca2B3Pt12Au after structural relaxation (PBE-GGA, Alexandria via LeMat-Bulk).

- density of states at the Fermi level (states/eV per atom) = 0.49
- ΔH_f (0 K) (kcal/mol of atoms) = -4.4
- crystal system = trigonal

Cell lengths 8.0185, 8.0185, 17.1976 Å; angles 90.00, 90.00, 120.00 degrees
Space group R-3m (No. 166, hexagonal axes)
One atom of each set of equivalent atoms:
Ca (0.0000, 0.0000, 0.0975) [6 per cell]
B (0.0000, 0.5000, 0.0000) [9 per cell]
Pt (0.0196, 0.5098, 0.8776) [18 per cell]
Pt (0.0602, 0.5301, 0.3523) [18 per cell]
Au (0.0000, 0.0000, 0.5000) [3 per cell]



# TlAs2Cl

TlAs2Cl after structural relaxation (PBE-GGA, Alexandria via LeMat-Bulk).

- density of states at the Fermi level (states/eV per atom) = 0.27
- E above lowest polymorph (meV per atom) = 451
- crystal system = orthorhombic

Cell lengths 3.121, 5.951, 6.270 Å; angles 90.00, 90.00, 90.00 degrees
Space group Pmmm (No. 47)
One atom of each set of equivalent atoms:
Tl (0.000, 0.000, 0.000) [1 per cell]
As (0.500, 0.191, 0.500) [2 per cell]
Cl (0.000, 0.500, 0.000) [1 per cell]